The following is a DFT calculation (PBE) of a relaxed structure of AgPd3Au.

DFT formation energy = -0.041 eV per atom

abc: 4.0145 8.5552 5.7062
angles: 60.15 89.98 103.55
Element x y z (fractional)
Ag 0.2208 0.4749 0.6599
Ag 0.8232 0.6792 0.7616
Pd 0.0232 0.0794 0.4636
Pd 0.4230 0.8789 0.8599
Pd 0.6210 0.2751 0.5616
Pd 0.0208 0.0747 0.9580
Pd 0.2223 0.4775 0.1666
Pd 0.8217 0.6766 0.2550
Au 0.4221 0.8774 0.3571
Au 0.6219 0.2767 0.0644

The following is a DFT calculation (PBE) of a relaxed structure of AgMoBr2.

Formation energy from raw total energies = 0.35 eV per atom

abc: 3.1509 3.1509 8.7464
angles: 90.00 90.00 90.00
Element x y z (fractional)
Mo 0.0000 0.0000 0.5003
Br 0.0000 0.0000 0.9450
Br 0.5000 0.5000 0.3304
Ag 0.5000 0.5000 0.7242

The following is a DFT calculation (PBE) of a relaxed structure of Ta2ZnMo.

DFT formation energy = 0.077 eV per atom

abc: 4.6359 2.7557 5.3319
angles: 81.08 90.00 90.00
Element x y z (fractional)
Mo 0.5000 0.7191 0.7605
Ta 0.0000 0.9737 0.9884
Ta 0.5000 0.2539 0.2544
Zn 0.0000 0.5533 0.4967

| no. | total magnetization (μB per formula unit) | raw total energy (eV per formula unit) |
| --- | --- | --- |
| 1 | 0.000 | -21.9 |
| 2 | 0.125 | -15.6 |
| 3 | 0.000 | -35.5 |